Dy2Er3TmTe6 | the Alexandria database | PBE-GGA | relaxed; energy relative to the elements, uncorrected = -1.2260 eV/atom; ρ = 8.5 g cm⁻³
1.0
-2.735 0.008 -3.325
-6.493 -2.224 5.337
1.174 9.419 1.844
Dy Er Tm Te
2 3 1 6
Direct
0.831 0.664 0.662
0.169 0.336 0.338
0.500 0.500 0.000
0.831 0.167 0.661
0.169 0.833 0.339
0.500 0.000 0.000
0.335 0.920 0.670
0.665 0.585 0.330
0.665 0.080 0.330
0.999 0.248 0.998
0.001 0.752 0.002
0.335 0.415 0.670

Dy3ErTm3Te8 | the Alexandria database | PBE-GGA | relaxed; energy relative to the elements, uncorrected = -1.3183 eV/atom; ρ = 8.0 g cm⁻³
1.0
8.621 0.000 0.000
-4.311 7.466 -0.026
0.000 -4.953 7.057
Dy Er Tm Te
3 1 3 8
Direct
0.000 0.000 0.000
0.000 0.500 0.000
0.500 0.500 0.000
0.000 0.000 0.500
0.500 0.000 0.500
0.500 0.500 0.500
0.000 0.500 0.500
0.251 0.503 0.254
0.749 0.497 0.746
0.745 0.490 0.248
0.255 0.510 0.752
0.745 0.003 0.248
0.255 0.997 0.752
0.258 0.003 0.248
0.742 0.997 0.752

DyEr2TmTe6 | the Alexandria database | PBE-GGA | relaxed; energy relative to the elements, uncorrected = -1.3449 eV/atom; ρ = 6.7 g cm⁻³
1.0
7.635 0.000 0.000
3.817 6.612 0.000
3.817 2.204 6.978
Dy Er Tm Te
1 2 1 6
Direct
0.823 0.823 0.530
0.509 0.509 0.474
0.008 0.008 0.975
0.324 0.324 0.028
0.600 0.232 0.250
0.233 0.917 0.250
0.917 0.600 0.250
0.414 0.730 0.752
0.730 0.104 0.752
0.104 0.414 0.752

DyY2ErTe6 | the Alexandria database | PBE-GGA | relaxed; energy relative to the elements, uncorrected = -1.3695 eV/atom; ρ = 5.9 g cm⁻³
1.0
7.681 0.000 0.001
3.840 6.652 0.000
3.841 2.217 7.016
Dy Y Er Te
1 2 1 6
Direct
0.824 0.824 0.529
0.510 0.510 0.471
0.009 0.009 0.973
0.324 0.324 0.028
0.599 0.229 0.252
0.229 0.920 0.252
0.920 0.599 0.252
0.417 0.728 0.753
0.728 0.102 0.753
0.102 0.417 0.753

DyY2Er3Te6 | the Alexandria database | PBE-GGA | relaxed; energy relative to the elements, uncorrected = -1.2553 eV/atom; ρ = 7.7 g cm⁻³
1.0
4.321 0.000 0.000
0.000 8.720 0.295
-2.161 -2.530 9.123
Dy Y Er Te
1 2 3 6
Direct
0.500 0.000 0.000
0.833 0.666 0.666
0.167 0.334 0.334
0.500 0.500 0.000
0.833 0.166 0.666
0.167 0.834 0.334
0.333 0.919 0.666
0.666 0.586 0.331
0.667 0.081 0.334
0.999 0.252 0.998
0.001 0.748 0.002
0.334 0.414 0.669

Dy2Y3ErTe6 | the Alexandria database | PBE-GGA | relaxed; energy relative to the elements, uncorrected = -1.2832 eV/atom; ρ = 7.2 g cm⁻³
1.0
-2.408 2.783 -2.295
2.510 -3.931 -7.400
-6.629 -6.150 3.596
Dy Y Er Te
2 3 1 6
Direct
0.832 0.666 0.664
0.168 0.334 0.336
0.500 0.500 0.000
0.832 0.168 0.664
0.168 0.832 0.336
0.500 0.000 0.000
0.335 0.918 0.670
0.666 0.582 0.332
0.665 0.082 0.330
0.000 0.247 0.000
0.000 0.753 0.000
0.334 0.418 0.668